# 1
This record from Alexandria via LeMat-Bulk describes crystalline ZrB2Os at its relaxed geometry. The functional is GGA-PBE.

VASP energy = -8.630 eV per atom

Cell: 4.859 4.859 4.859 Å, 43.49 43.49 43.49°
Fractional coordinates of all 4 atoms:
Zr 0.000 0.000 0.000
B 0.220 0.220 0.220
B 0.780 0.780 0.780
Os 0.500 0.500 0.500

***

# 2
This record from Alexandria via LeMat-Bulk describes crystalline NaGaPb at its relaxed geometry. The functional is GGA-PBE.

VASP energy = -2.743 eV per atom

Cell: 3.453 5.808 8.204 Å, 71.08 89.99 89.96°
Fractional coordinates of all 6 atoms:
Na 0.000 0.142 0.188
Na 0.000 0.858 0.812
Ga 0.497 0.226 0.499
Ga 0.503 0.774 0.501
Pb 0.500 0.356 0.814
Pb 0.500 0.644 0.186

***

# 3
This record from Alexandria via LeMat-Bulk describes crystalline MoRhSe2 at its relaxed geometry. The functional is GGA-PBE.

formation energy without anion corrections = 85.9 meV/atom
VASP energy = -6.202 eV per atom

Cell: 4.480 4.480 4.480 Å, 60.00 60.00 60.00°
Fractional coordinates of all 4 atoms:
Mo 0.000 0.000 0.000
Rh 0.500 0.500 0.500
Se 0.250 0.250 0.250
Se 0.750 0.750 0.750

***

# 4
This record from Alexandria via LeMat-Bulk describes crystalline TeWSe2 at its relaxed geometry. The functional is GGA-PBE.

formation energy without anion corrections = -305.3 meV/atom
VASP energy = -6.071 eV per atom

Cell: 3.239 5.934 11.948 Å, 80.30 83.11 90.00°
Fractional coordinates of all 8 atoms:
Te 0.000 0.000 0.000
Te 0.031 0.488 0.931
W 0.260 0.433 0.473
W 0.766 0.056 0.459
Se 0.209 0.778 0.588
Se 0.336 0.217 0.302
Se 0.690 0.272 0.629
Se 0.817 0.711 0.344

***

# 5
This record from Alexandria via LeMat-Bulk describes crystalline Li2Hg2Au at its relaxed geometry. The functional is GGA-PBE.

VASP energy = -1.688 eV per atom

Cell: 7.341 7.341 7.341 Å, 149.93 149.93 43.04°
Fractional coordinates of all 5 atoms:
Li 0.250 0.750 0.500
Li 0.750 0.250 0.500
Hg 0.110 0.110 0.000
Hg 0.890 0.890 0.000
Au 0.500 0.500 0.000

***

# 6
This record from Alexandria via LeMat-Bulk describes crystalline Pm2TmHf at its relaxed geometry. The functional is GGA-PBE.

VASP energy = -5.614 eV per atom

Cell: 12.265 12.265 12.265 Å, 15.76 15.76 15.76°
Fractional coordinates of all 4 atoms:
Pm 0.086 0.086 0.086
Pm 0.914 0.914 0.914
Tm 0.500 0.500 0.500
Hf 0.000 0.000 0.000

***

# 7
This record from Alexandria via LeMat-Bulk describes crystalline Ba5AsP2O at its relaxed geometry. The functional is GGA-PBE.

formation energy without anion corrections = -1249.5 meV/atom
VASP energy = -4.587 eV per atom

Cell: 10.819 10.819 12.657 Å, 90.00 90.00 155.33°
Fractional coordinates of all 18 atoms:
Ba 0.003 0.997 0.500
Ba 0.136 0.864 0.723
Ba 0.161 0.839 0.074
Ba 0.205 0.795 0.416
Ba 0.451 0.549 0.762
Ba 0.549 0.451 0.262
Ba 0.795 0.205 0.916
Ba 0.839 0.161 0.574
Ba 0.864 0.136 0.223
Ba 0.997 0.003 0.000
As 0.287 0.713 0.731
As 0.713 0.287 0.231
P 0.388 0.612 0.021
P 0.401 0.599 0.405
P 0.599 0.401 0.905
P 0.612 0.388 0.521
O 0.053 0.947 0.174
O 0.947 0.053 0.674

***

# 8
This record from Alexandria via LeMat-Bulk describes crystalline Pr2SnIr at its relaxed geometry. The functional is GGA-PBE.

VASP energy = -6.207 eV per atom

Cell: 3.584 3.584 8.257 Å, 90.00 90.00 90.00°
Fractional coordinates of all 4 atoms:
Pr 0.000 0.000 0.210
Pr 0.000 0.000 0.790
Sn 0.500 0.500 0.500
Ir 0.500 0.500 0.000

***

# 9
This record from Alexandria via LeMat-Bulk describes crystalline Pm7Pr4Tm at its relaxed geometry. The functional is GGA-PBE.

VASP energy = -4.522 eV per atom

Cell: 8.816 8.816 9.381 Å, 114.52 114.52 40.36°
Fractional coordinates of all 12 atoms:
Pm 0.000 0.000 0.000
Pm 0.292 0.292 0.126
Pm 0.293 0.293 0.779
Pm 0.420 0.420 0.568
Pm 0.580 0.580 0.432
Pm 0.707 0.707 0.221
Pm 0.708 0.708 0.874
Pr 0.075 0.075 0.703
Pr 0.175 0.175 0.387
Pr 0.825 0.825 0.613
Pr 0.925 0.925 0.297
Tm 0.500 0.500 0.000

***

# 10
This record from Alexandria via LeMat-Bulk describes crystalline Be2NbTlBi at its relaxed geometry. The functional is GGA-PBE.

VASP energy = -3.332 eV per atom

Cell: 4.594 4.594 5.662 Å, 90.00 90.00 90.00°
Fractional coordinates of all 5 atoms:
Be 0.000 0.500 0.000
Be 0.500 0.000 0.000
Nb 0.000 0.000 0.500
Tl 0.500 0.500 0.500
Bi 0.000 0.000 0.000

***

# 11
This record from Alexandria via LeMat-Bulk describes crystalline Cd2CoBr at its relaxed geometry. The functional is GGA-PBE.

formation energy without anion corrections = 248.9 meV/atom
VASP energy = -2.403 eV per atom

Cell: 3.148 3.148 8.774 Å, 90.00 90.00 90.00°
Fractional coordinates of all 4 atoms:
Cd 0.000 0.000 0.000
Cd 0.500 0.500 0.270
Co 0.000 0.000 0.482
Br 0.500 0.500 0.634

***

# 12
This record from Alexandria via LeMat-Bulk describes crystalline TlFe3I12 at its relaxed geometry. The functional is GGA-PBE.

formation energy without anion corrections = -161.7 meV/atom
VASP energy = -3.059 eV per atom

Cell: 14.531 14.531 14.531 Å, 50.50 50.50 50.50°
Fractional coordinates of all 32 atoms:
Tl 0.000 0.000 0.000
Tl 0.500 0.500 0.500
Fe 0.141 0.804 0.432
Fe 0.304 0.641 0.932
Fe 0.432 0.141 0.804
Fe 0.641 0.932 0.304
Fe 0.804 0.432 0.141
Fe 0.932 0.304 0.641
I 0.022 0.467 0.433
I 0.071 0.671 0.094
I 0.094 0.071 0.671
I 0.161 0.822 0.237
I 0.171 0.571 0.594
I 0.237 0.161 0.822
I 0.310 0.855 0.381
I 0.322 0.661 0.737
I 0.355 0.810 0.881
I 0.381 0.310 0.855
I 0.433 0.022 0.467
I 0.467 0.433 0.022
I 0.522 0.933 0.967
I 0.571 0.594 0.171
I 0.594 0.171 0.571
I 0.661 0.737 0.322
I 0.671 0.094 0.071
I 0.737 0.322 0.661
I 0.810 0.881 0.355
I 0.822 0.237 0.161
I 0.855 0.381 0.310
I 0.881 0.355 0.810
I 0.933 0.967 0.522
I 0.967 0.522 0.933

***

no.,total magnetic moment (Bohr magnetons per cell)
1,0.00
2,0.00
3,0.00
4,0.00
5,0.00
6,0.00
7,0.00
8,0.00
9,0.22
10,1.48
11,2.00
12,25.96